Here is Be4TlTe after structural relaxation from the Alexandria database. Energies are from PBE.

POSCAR file:
```
Be4TlTe
1.0
-4.703 -1.882 0.074
-2.703 0.104 4.283
-3.970 3.119 0.415
Be Tl Te
4 1 1
direct
0.889 0.370 0.370 Be
0.370 0.370 0.889 Be
0.370 0.889 0.370 Be
0.370 0.370 0.370 Be
0.000 0.000 0.000 Tl
0.750 0.750 0.750 Te
```

Summary:
- DOS at the Fermi energy: 1.52 states/eV/f.u.
- Calculated density: 6.6 Mg/m³
- Energy relative to the elements, uncorrected: 733 meV/atom